PBE CdH8C2Br3N, optimized geometry; raw total energy = -4.405 eV/atom
1.0
7.1322 -0.3347 0.0000
-1.5856 9.5830 0.0000
0.0000 0.0000 13.8285
H C Cd Br N
32 8 4 12 4
Cartesian
3.7722 1.3296 7.7457
5.3606 6.0153 2.5280
4.5135 2.3732 6.6507
0.9077 4.3413 12.5078
6.4301 2.5973 8.1313
6.1447 0.9107 7.5756
-0.5981 8.3376 6.2530
3.4660 7.6831 2.3111
1.7745 7.9187 6.0828
2.7143 5.7521 5.8654
4.6389 4.9070 1.3208
-0.1001 7.8505 4.6031
0.2061 1.4969 12.9971
-0.8835 6.6509 5.6972
0.9474 2.5405 0.2636
4.4739 4.1740 8.2350
2.5786 1.0781 13.1672
2.9680 8.1702 0.6613
1.0332 6.8751 7.1779
2.6827 6.4836 1.2171
2.0807 1.5651 11.5174
2.8640 2.7647 12.6115
5.6468 1.3978 9.2254
4.5993 6.7077 13.5649
6.3985 3.3288 12.7797
1.7945 6.1826 4.3863
1.0728 5.0743 5.5935
5.3406 7.7513 0.8315
0.1860 3.2330 11.3006
2.8324 3.4962 7.9631
3.7521 3.0657 9.4422
-0.8518 5.9194 1.0489
5.7603 1.7323 8.1879
-0.2136 7.5159 5.6407
2.1942 1.8997 12.5550
0.2615 3.4685 12.3666
1.7191 5.9471 5.4523
5.2852 5.7798 1.4620
3.3525 7.3486 1.2736
3.8276 3.3011 8.3763
-1.1670 7.6065 10.3487
2.3991 7.4391 10.3941
6.7136 1.6418 3.4798
3.1475 1.8091 3.4344
5.0529 3.6025 4.6714
1.1936 0.0011 2.2459
0.5910 7.5161 12.4887
4.0599 5.4784 11.5857
1.3895 1.8995 5.5744
0.7870 9.4145 9.1602
1.4868 3.7699 2.2428
4.1571 7.3487 8.2541
0.4938 5.6457 9.1571
4.9556 1.7322 1.3398
4.7597 -0.1662 4.6683
4.3531 9.2472 11.5826
1.1235 7.1136 6.1646
4.4231 2.1347 7.6639
4.6896 6.9462 0.7497
0.8570 2.3020 13.0789


PBE AlSiAg3, optimized geometry; energy above the most stable polymorph in this dataset = 0 meV/atom; formation energy (no corrections) = 0.484 eV/atom
1.0
-4.5061 1.6170 0.7416
-0.7893 -3.6272 3.1129
1.5943 2.7746 3.6373
Ag Si Al
3 1 1
Cartesian
-2.2531 0.8085 0.3708
-0.3946 -1.8136 1.5565
0.7971 1.3873 1.8186
0.0000 0.0000 0.0000
-1.8506 0.3822 3.7459


PBE Ba2NbBi, optimized geometry; energy of formation = 0.5827 eV per atom
1.0
9.4357 0.0000 0.0000
0.0000 9.4357 0.0000
4.7179 4.7179 3.3542
Ba Nb Bi
4 2 2
Cartesian
6.8554 2.3589 0.8385
2.5803 7.0768 0.8385
7.0768 7.2982 2.5156
11.7946 11.5732 2.5156
4.7179 4.7179 0.0000
4.7179 9.4357 1.6771
0.0000 0.0000 0.0000
9.4357 4.7179 1.6771


PBE ReMo5W4, optimized geometry; energy of formation = 0.0067 eV per atom
1.0
3.1695 0.0000 0.0000
0.0000 3.1695 0.0000
0.0000 0.0000 15.8156
Mo W Re
5 4 1
Cartesian
1.5847 1.5847 7.9078
1.5847 1.5847 4.7293
1.5847 1.5847 1.5738
1.5847 1.5847 11.0863
1.5847 1.5847 14.2419
0.0000 0.0000 6.3202
0.0000 0.0000 12.6679
0.0000 0.0000 9.4954
0.0000 0.0000 3.1477
0.0000 0.0000 0.0000


PBE BaTa3P, optimized geometry; energy above the most stable polymorph in this dataset = 0 meV/atom; energy of formation = 0.6757 eV per atom
1.0
-0.0028 4.7690 0.8311
0.4357 -0.8275 4.7497
4.8212 0.0776 -0.4288
Ba P Ta
1 1 3
Cartesian
2.6271 2.0096 2.5760
0.0000 0.0000 0.0000
0.2179 -0.4137 2.3748
-0.0014 2.3845 0.4156
2.4106 0.0388 -0.2144


PBE HgRu2C2, optimized geometry; energy above the most stable polymorph in this dataset = 0 meV/atom; energy of formation = 0.7986 eV per atom
1.0
3.3867 0.0000 0.0000
0.0000 3.3867 0.0000
1.6933 1.6933 5.6530
Ru Hg C
2 1 2
Cartesian
3.3867 3.3867 3.9676
1.6933 1.6933 1.6854
0.0000 0.0000 0.0000
1.6933 3.3867 2.8265
3.3867 1.6933 2.8265


PBE TbCePm, optimized geometry; energy above the most stable polymorph in this dataset = 163 meV/atom; energy of formation = 0.2365 eV per atom
1.0
-4.1513 0.8129 2.2024
-2.3459 -1.2647 -3.9550
-0.1617 -8.1272 2.6948
Ce Pm Tb
2 2 2
Cartesian
-3.2486 -0.2259 -0.8763
0.0000 0.0000 0.0000
-1.2188 -2.9385 -1.2128
-2.1915 -5.4146 3.0314
-2.1259 -2.1201 1.9390
-1.2844 -6.2330 -0.1204


PBE SrOs2Br, optimized geometry; energy above the most stable polymorph in this dataset = 642 meV/atom; formation energy (no corrections) = 0.717 eV/atom
1.0
6.8852 0.0029 -0.0014
4.7691 4.9661 0.0014
-5.5425 -3.1522 2.5983
Br Os Sr
1 2 1
Cartesian
2.5269 2.1492 1.2999
5.8436 2.4916 0.0000
11.6379 4.9620 0.0000
3.5850 -0.3324 1.2984